! Li4AlPd PBE relaxed; values from VASP
&SYSTEM
  ibrav = 0, nat = 6, ntyp = 3
/
ATOMIC_SPECIES
Li 6.94 Li.upf
Al 26.98 Al.upf
Pd 106.42 Pd.upf
CELL_PARAMETERS angstrom
0.0000 3.4596 3.4596
3.4596 0.0000 3.4596
3.4596 3.4596 0.0000
ATOMIC_POSITIONS crystal
Li 0.3761 0.3761 0.3761
Li 0.3761 0.3761 0.8718
Li 0.3761 0.8718 0.3761
Li 0.8718 0.3761 0.3761
Al 0.0000 0.0000 0.0000
Pd 0.7500 0.7500 0.7500
! ΔH_f (0 K) in meV per atom: -149
! Magnetic moment in Bohr magnetons per cell: 0.00
! Distance to the lowest polymorph of the same formula in meV per atom: 163.4
! Calculated total energy in eV per atom: -2.91